Arrangement P

The following is a DFT calculation (PBE) of a relaxed MoH2Os crystal.

Lattice parameters (Å, degrees): 4.1807 4.1807 8.3292 90.00 90.00 90.00
With the nearest neighbours (Å) after each atom.
Space group I-42d (No. 122)
Asymmetric unit:
Mo  0.0000  0.0000  0.0000 [4 per cell]  4 H 1.84
H  0.2363  0.2500  0.6250 [8 per cell]  2 Os 1.78, 2 Mo 1.84
Os  0.0000  0.0000  0.5000 [4 per cell]  4 H 1.78

## Properties
N(E_F)   0.536 states/eV/atom
Total moment   0.000 μB/f.u.



Arrangement Q

The following is a DFT calculation (PBE) of a relaxed MoH2Os crystal.

Lattice parameters (Å, degrees): 5.3088 5.3088 5.3088 90.00 90.00 90.00
With the nearest neighbours (Å) after each atom.
Space group Fm-3m (No. 225)
Asymmetric unit:
Mo  0.0000  0.0000  0.0000 [4 per cell]  8 H 2.30
H  0.2500  0.2500  0.2500 [8 per cell]  4 Mo 2.30, 4 Os 2.30
Os  0.0000  0.0000  0.5000 [4 per cell]  8 H 2.30

## Properties
N(E_F)   1.204 states/eV/atom
Total moment   0.000 μB/f.u.



Relative energy table, unit meV per atom: arrangement P 0; arrangement Q 650



Arrangement P

The following is a DFT calculation (PBE) of a relaxed MoH3Os crystal.

Lattice parameters (Å, degrees): 3.4488 3.4488 3.4488 90.00 90.00 90.00
With the nearest neighbours (Å) after each atom.
Space group Pm-3m (No. 221)
Asymmetric unit:
Mo  0.0000  0.0000  0.0000 [1 per cell]  6 H 1.72
H  0.0000  0.0000  0.5000 [3 per cell]  2 Mo 1.72
Os  0.5000  0.5000  0.5000 [1 per cell]  12 H 2.44

## Properties
N(E_F)   0.418 states/eV/atom
Total moment   1.336 μB/f.u.



Arrangement Q

The following is a DFT calculation (PBE) of a relaxed MoH3Os crystal.

Lattice parameters (Å, degrees): 3.4398 3.4398 3.4398 90.00 90.00 90.00
With the nearest neighbours (Å) after each atom.
Space group Pm-3m (No. 221)
Asymmetric unit:
Mo  0.0000  0.0000  0.0000 [1 per cell]  12 H 2.43
H  0.0000  0.5000  0.5000 [3 per cell]  2 Os 1.72
Os  0.5000  0.5000  0.5000 [1 per cell]  6 H 1.72

## Properties
N(E_F)   0.652 states/eV/atom
Total moment   0.000 μB/f.u.



Relative energy table, unit meV per atom: arrangement P 265; arrangement Q 0



Arrangement P

The following is a DFT calculation (PBE) of a relaxed MoHOs3 crystal.

Lattice parameters (Å, degrees): 4.7288 4.7288 4.7288 90.00 90.00 90.00
With the nearest neighbours (Å) after each atom.
Space group Pm-3m (No. 221)
Asymmetric unit:
Mo  0.0000  0.0000  0.0000 [1 per cell]  6 Os 2.36
H  0.5000  0.5000  0.5000 [1 per cell]  12 Os 3.34
Os  0.0000  0.0000  0.5000 [3 per cell]  2 Mo 2.36

## Properties
N(E_F)   1.080 states/eV/atom
Total moment   3.825 μB/f.u.



Arrangement Q

The following is a DFT calculation (PBE) of a relaxed MoHOs3 crystal.

Lattice parameters (Å, degrees): 3.9324 3.9324 3.9324 90.00 90.00 90.00
With the nearest neighbours (Å) after each atom.
Space group Pm-3m (No. 221)
Asymmetric unit:
Mo  0.0000  0.0000  0.0000 [1 per cell]  12 Os 2.78
H  0.5000  0.5000  0.5000 [1 per cell]  6 Os 1.97
Os  0.0000  0.5000  0.5000 [3 per cell]  2 H 1.97

## Properties
N(E_F)   0.508 states/eV/atom
Total moment   0.000 μB/f.u.



Relative energy table, unit meV per atom: arrangement P 2791; arrangement Q 0



Arrangement P

The following is a DFT calculation (PBE) of a relaxed Mo2HOsPt crystal.

Lattice parameters (Å, degrees): 3.9712 3.9712 3.9939 90.00 90.00 90.00
With the nearest neighbours (Å) after each atom.
Space group P4/mmm (No. 123)
Asymmetric unit:
Mo  0.0000  0.5000  0.0000 [2 per cell]  2 H 1.99
H  0.0000  0.0000  0.0000 [1 per cell]  4 Mo 1.99, 2 Pt 2.00
Os  0.5000  0.5000  0.5000 [1 per cell]  4 Pt 2.81, 8 Mo 2.82
Pt  0.0000  0.0000  0.5000 [1 per cell]  2 H 2.00

## Properties
N(E_F)   0.579 states/eV/atom
Total moment   0.000 μB/f.u.



Arrangement Q

The following is a DFT calculation (PBE) of a relaxed Mo2HOsPt crystal.

Lattice parameters (Å, degrees): 3.9773 3.9773 3.9714 90.00 90.00 90.00
With the nearest neighbours (Å) after each atom.
Space group P4/mmm (No. 123)
Asymmetric unit:
Mo  0.0000  0.5000  0.0000 [2 per cell]  2 H 1.99
H  0.0000  0.0000  0.0000 [1 per cell]  2 Os 1.99, 4 Mo 1.99
Os  0.0000  0.0000  0.5000 [1 per cell]  2 H 1.99
Pt  0.5000  0.5000  0.5000 [1 per cell]  8 Mo 2.81, 4 Os 2.81

## Properties
N(E_F)   0.727 states/eV/atom
Total moment   0.000 μB/f.u.



Relative energy table, unit meV per atom: arrangement P 44; arrangement Q 0



Arrangement P

The following is a DFT calculation (PBE) of a relaxed ReMoHOs2 crystal.

Lattice parameters (Å, degrees): 3.9283 3.9283 3.9791 90.00 90.00 90.00
With the nearest neighbours (Å) after each atom.
Space group P4/mmm (No. 123)
Asymmetric unit:
Re  0.0000  0.0000  0.0000 [1 per cell]  4 Mo 2.78, 8 Os 2.80
Mo  0.5000  0.5000  0.0000 [1 per cell]  2 H 1.99
H  0.5000  0.5000  0.5000 [1 per cell]  4 Os 1.96, 2 Mo 1.99
Os  0.0000  0.5000  0.5000 [2 per cell]  2 H 1.96

## Properties
N(E_F)   0.772 states/eV/atom
Total moment   0.000 μB/f.u.



Arrangement Q

The following is a DFT calculation (PBE) of a relaxed ReMoHOs2 crystal.

Lattice parameters (Å, degrees): 3.9391 3.9391 3.9640 90.00 90.00 90.00
With the nearest neighbours (Å) after each atom.
Space group P4/mmm (No. 123)
Asymmetric unit:
Re  0.0000  0.0000  0.0000 [1 per cell]  2 H 1.98
Mo  0.5000  0.5000  0.0000 [1 per cell]  4 Re 2.79, 8 Os 2.79
H  0.0000  0.0000  0.5000 [1 per cell]  4 Os 1.97, 2 Re 1.98
Os  0.0000  0.5000  0.5000 [2 per cell]  2 H 1.97

## Properties
N(E_F)   0.831 states/eV/atom
Total moment   0.000 μB/f.u.



Relative energy table, unit meV per atom: arrangement P 0; arrangement Q 16



Arrangement P

The following is a DFT calculation (PBE) of a relaxed MoHOs2Rh crystal.

Lattice parameters (Å, degrees): 3.9084 3.9084 3.9650 90.00 90.00 90.00
With the nearest neighbours (Å) after each atom.
Space group P4/mmm (No. 123)
Asymmetric unit:
Mo  0.0000  0.0000  0.0000 [1 per cell]  2 H 1.98
H  0.0000  0.0000  0.5000 [1 per cell]  4 Os 1.95, 2 Mo 1.98
Os  0.0000  0.5000  0.5000 [2 per cell]  2 H 1.95
Rh  0.5000  0.5000  0.0000 [1 per cell]  4 Mo 2.76, 8 Os 2.78

## Properties
N(E_F)   0.857 states/eV/atom
Total moment   0.000 μB/f.u.



Arrangement Q

The following is a DFT calculation (PBE) of a relaxed MoHOs2Rh crystal.

Lattice parameters (Å, degrees): 3.9418 3.9418 3.8950 90.00 90.00 90.00
With the nearest neighbours (Å) after each atom.
Space group P4/mmm (No. 123)
Asymmetric unit:
Mo  0.0000  0.0000  0.0000 [1 per cell]  8 Os 2.77, 4 Rh 2.79
H  0.5000  0.5000  0.5000 [1 per cell]  2 Rh 1.95, 4 Os 1.97
Os  0.0000  0.5000  0.5000 [2 per cell]  2 H 1.97
Rh  0.5000  0.5000  0.0000 [1 per cell]  2 H 1.95

## Properties
N(E_F)   0.467 states/eV/atom
Total moment   0.000 μB/f.u.



Relative energy table, unit meV per atom: arrangement P 34; arrangement Q 0



Arrangement P

The following is a DFT calculation (PBE) of a relaxed MoHOsRu2 crystal.

Lattice parameters (Å, degrees): 4.6986 4.6986 4.7229 90.00 90.00 90.00
With the nearest neighbours (Å) after each atom.
Space group P4/mmm (No. 123)
Asymmetric unit:
Mo  0.0000  0.0000  0.0000 [1 per cell]  4 Ru 2.35, 2 Os 2.36
H  0.5000  0.5000  0.5000 [1 per cell]  4 Os 3.32, 8 Ru 3.33
Os  0.0000  0.0000  0.5000 [1 per cell]  2 Mo 2.36
Ru  0.0000  0.5000  0.0000 [2 per cell]  2 Mo 2.35

## Properties
N(E_F)   0.943 states/eV/atom
Total moment   3.865 μB/f.u.



Arrangement Q

The following is a DFT calculation (PBE) of a relaxed MoHOsRu2 crystal.

Lattice parameters (Å, degrees): 3.8786 3.8786 3.9770 90.00 90.00 90.00
With the nearest neighbours (Å) after each atom.
Space group P4/mmm (No. 123)
Asymmetric unit:
Mo  0.0000  0.0000  0.0000 [1 per cell]  2 H 1.99
H  0.0000  0.0000  0.5000 [1 per cell]  4 Ru 1.94, 2 Mo 1.99
Os  0.5000  0.5000  0.0000 [1 per cell]  4 Mo 2.74, 8 Ru 2.78
Ru  0.0000  0.5000  0.5000 [2 per cell]  2 H 1.94

## Properties
N(E_F)   0.825 states/eV/atom
Total moment   0.000 μB/f.u.



Arrangement R

The following is a DFT calculation (PBE) of a relaxed MoHOsRu2 crystal.

Lattice parameters (Å, degrees): 3.9063 3.9063 3.9242 90.00 90.00 90.00
With the nearest neighbours (Å) after each atom.
Space group P4/mmm (No. 123)
Asymmetric unit:
Mo  0.0000  0.0000  0.0000 [1 per cell]  4 Os 2.76, 8 Ru 2.77
H  0.5000  0.5000  0.5000 [1 per cell]  4 Ru 1.95, 2 Os 1.96
Os  0.5000  0.5000  0.0000 [1 per cell]  2 H 1.96
Ru  0.0000  0.5000  0.5000 [2 per cell]  2 H 1.95

## Properties
N(E_F)   0.515 states/eV/atom
Total moment   0.000 μB/f.u.



Relative energy table, unit meV per atom: arrangement P 2438; arrangement Q 6; arrangement R 0



Arrangement P

The following is a DFT calculation (PBE) of a relaxed SnMoHOs crystal.

Lattice parameters (Å, degrees): 2.9919 3.0427 6.2944 90.00 103.42 90.00
With the nearest neighbours (Å) after each atom.
Space group Pm (No. 6)
Asymmetric unit:
Sn  0.0000  0.0000  0.0000 [1 per cell]  4 H 2.64-2.65, 4 Os 2.88-2.90
Mo  0.7120  0.0000  0.4217 [1 per cell]  2 H 1.83
H  0.6284  0.5000  0.2559 [1 per cell]  2 Mo 1.83
Os  0.3391  0.5000  0.6823 [1 per cell]  4 Mo 2.66, 4 Sn 2.88-2.90

## Properties
N(E_F)   0.615 states/eV/atom
Total moment   0.000 μB/f.u.



Arrangement Q

The following is a DFT calculation (PBE) of a relaxed SnMoHOs crystal.

Lattice parameters (Å, degrees): 4.4138 4.6264 5.9657 90.00 90.00 90.00
With the nearest neighbours (Å) after each atom.
Space group Imm2 (No. 44)
Asymmetric unit:
Sn  0.0000  0.0000  0.0000 [2 per cell]  2 H 2.33
Mo  0.0000  0.0000  0.5076 [2 per cell]  2 H 2.22
H  0.0000  0.5000  0.0485 [2 per cell]  1 Os 1.69
Os  0.0000  0.5000  0.7658 [2 per cell]  1 H 1.69

## Properties
N(E_F)   0.699 states/eV/atom
Total moment   0.000 μB/f.u.



Arrangement R

The following is a DFT calculation (PBE) of a relaxed SnMoHOs crystal.

Lattice parameters (Å, degrees): 3.0111 3.1062 6.4011 90.00 90.00 90.00
With the nearest neighbours (Å) after each atom.
Space group Pmm2 (No. 25)
Asymmetric unit:
Sn  0.0000  0.0000  0.0000 [1 per cell]  1 Os 2.67, 4 Mo 2.97
Mo  0.5000  0.5000  0.3186 [1 per cell]  2 H 1.84
H  0.0000  0.5000  0.4830 [1 per cell]  2 Os 1.68, 2 Mo 1.84
Os  0.0000  0.0000  0.5830 [1 per cell]  2 H 1.68

## Properties
N(E_F)   0.375 states/eV/atom
Total moment   0.000 μB/f.u.



Relative energy table, unit meV per atom: arrangement P 0; arrangement Q 158; arrangement R 226